Entry 1:
Computed, not measured: a relaxed structure of MnAl2HPd at the PBE level of DFT.

The value obtained for the total energy is -26.86 eV per formula unit.

The structure belongs to space group P4/mmm (No. 123); the cell edges are 4.106, 4.106 and 3.389 Å and the angles 90.00°, 90.00° and 90.00°. The distinct sites, in fractional coordinates, are Mn at (0.000, 0.000, 0.000), Al at (0.000, 0.500, 0.500), H at (0.000, 0.000, 0.500) and Pd at (0.500, 0.500, 0.000).

***

Entry 2:
Computed, not measured: a relaxed structure of Mn2AlHPd at the PBE level of DFT.

The calculation puts the offset from the most stable computed form at 42 meV per atom.

The structure belongs to space group P4/mmm (No. 123); the cell edges are 3.707, 3.707 and 4.153 Å and the angles 90.00°, 90.00° and 90.00°. The distinct sites, in fractional coordinates, are Mn at (0.000, 0.500, 0.000), Al at (0.000, 0.000, 0.500), H at (0.000, 0.000, 0.000) and Pd at (0.500, 0.500, 0.500).